VASP calculation (PBE) on Cr3PtN after structural relaxation.

Calculated values
- calculated density (g cm⁻³) = 10.7
- formation energy (no corrections) (kJ/mol of atoms) = -33
- symmetry = Pm-3m (221)
- ΔE to the lowest computed polymorph (kJ per mole of atoms) = 0.0
- crystal system = cubic

Cell: 3.8394 3.8394 3.8394 Å, 90.00 90.00 90.00°
Site moments in Bohr magnetons follow the coordinates.
Element x y z (fractional)
N: 0.5000 0.5000 0.5000  0.00
Cr: 0.5000 0.0000 0.5000  0.21
Cr: 0.0000 0.5000 0.5000  0.21
Cr: 0.5000 0.5000 0.0000  0.21
Pt: 0.0000 0.0000 0.0000  0.01